# NaPrNiF6

Crystalline NaPrNiF6 at its relaxed geometry (GGA+U, Alexandria via LeMat-Bulk).

Properties
As for the space-group type: P-31c. The calculation puts the raw total energy at -95.1 eV for the cell shown.

Cell lengths 5.8158, 5.8158, 9.1847 Å; angles 90.00, 90.00, 120.00 degrees
Last column: nearest neighbours and their distance in Å.
Positions (direct):
Pr1 0.6667 0.3333 0.7500  6 F 2.33
Pr2 0.3333 0.6667 0.2500  6 F 2.33
F1 0.3326 0.3703 0.8687  1 Ni 2.04
F2 0.9623 0.3326 0.1313  1 Ni 2.04
F3 0.6297 0.9623 0.8687  1 Ni 2.04
F4 0.6674 0.0377 0.3687  1 Ni 2.04
F5 0.0377 0.6674 0.8687  1 Ni 2.04
F6 0.3703 0.0377 0.1313  1 Ni 2.04
F7 0.0377 0.3703 0.6313  1 Ni 2.04
F8 0.6297 0.6674 0.6313  1 Ni 2.04
F9 0.3703 0.3326 0.3687  1 Ni 2.04
F10 0.6674 0.6297 0.1313  1 Ni 2.04
F11 0.9623 0.6297 0.3687  1 Ni 2.04
F12 0.3326 0.9623 0.6313  1 Ni 2.04
Ni1 0.6667 0.3333 0.2500  6 F 2.04
Ni2 0.3333 0.6667 0.7500  6 F 2.04
Na1 0.0000 0.0000 0.0000  6 F 2.38
Na2 0.0000 0.0000 0.5000  6 F 2.38